A plane-wave DFT calculation with PBE was carried out for a geometry-optimized Ge2OF structure.

## Properties
SG   Fm-3m (225)
Magnetic moment   0.0 μB/cell
DOS(E_F)   1.4 states/eV per cell
Offset from the most stable computed form   364 meV/atom
E_form (uncorrected)   -521 meV per atom

Cell lengths 4.2497, 4.2497, 4.2497 Å; angles 60.00, 60.00, 60.00 degrees
Positions (direct):
O (0.0000, 0.0000, 0.0000)
Ge (0.7500, 0.7500, 0.7500)
Ge (0.2500, 0.2500, 0.2500)
F (0.5000, 0.5000, 0.5000)


A plane-wave DFT calculation with PBE was carried out for a geometry-optimized SiAgI3 structure.

## Properties
SG   Pm-3m (221)
Magnetic moment   0.6 μB/cell
DOS(E_F)   4.2 states/eV per cell
Offset from the most stable computed form   345 meV/atom
E_form (uncorrected)   567 meV per atom

Cell lengths 5.6503, 5.6503, 5.6503 Å; angles 90.00, 90.00, 90.00 degrees
Each line ends with the local moment (μB).
Positions (direct):
I (0.0000, 0.5000, 0.0000)  -0.02
I (0.5000, 0.0000, 0.0000)  -0.03
I (0.0000, 0.0000, 0.5000)  -0.03
Ag (0.0000, 0.0000, 0.0000)  0.00
Si (0.5000, 0.5000, 0.5000)  0.23


A plane-wave DFT calculation with PBE was carried out for a geometry-optimized CdP2PbO structure.

## Properties
SG   P4/mmm (123)
Magnetic moment   0.0 μB/cell
DOS(E_F)   4.8 states/eV per cell
Offset from the most stable computed form   120 meV/atom
E_form (uncorrected)   723 meV per atom

Cell lengths 5.3491, 5.3491, 4.1167 Å; angles 90.00, 90.00, 90.00 degrees
Positions (direct):
Pb (0.0000, 0.0000, 0.0000)
Cd (0.5000, 0.5000, 0.5000)
O (0.0000, 0.0000, 0.5000)
P (0.0000, 0.5000, 0.0000)
P (0.5000, 0.0000, 0.0000)


A plane-wave DFT calculation with PBE was carried out for a geometry-optimized Zn2AsC structure.

## Properties
SG   Fm-3m (225)
Magnetic moment   0.0 μB/cell
DOS(E_F)   1.8 states/eV per cell
Offset from the most stable computed form   489 meV/atom
Energy of formation from the pure elements   1.2875 eV/atom

Cell lengths 4.3392, 4.3392, 4.3392 Å; angles 60.00, 60.00, 60.00 degrees
Positions (direct):
C (0.0000, 0.0000, 0.0000)
Zn (0.2500, 0.2500, 0.2500)
Zn (0.7500, 0.7500, 0.7500)
As (0.5000, 0.5000, 0.5000)


A plane-wave DFT calculation with PBE was carried out for a geometry-optimized AcGdTlPt structure.

## Properties
SG   F-43m (216)
Magnetic moment   7.2 μB/cell
DOS(E_F)   4.0 states/eV per cell
Energy of formation from the pure elements   -0.5897 eV/atom

Cell lengths 5.4095, 5.4095, 5.4095 Å; angles 60.00, 60.00, 60.00 degrees
Each line ends with the local moment (μB).
Positions (direct):
Tl (0.2500, 0.2500, 0.2500)  -0.01
Pt (0.7500, 0.7500, 0.7500)  0.00
Gd (0.0000, 0.0000, 0.0000)  -6.99
Ac (0.5000, 0.5000, 0.5000)  -0.01


A plane-wave DFT calculation with PBE was carried out for a geometry-optimized NbInPd2 structure.

## Properties
SG   P4/mmm (123)
Magnetic moment   0.0 μB/cell
DOS(E_F)   1.0 states/eV per cell
Energy of formation from the pure elements   -0.3661 eV/atom

Cell lengths 2.9563, 2.9563, 7.8730 Å; angles 90.00, 90.00, 90.00 degrees
Positions (direct):
In (0.5000, 0.5000, 0.0000)
Pd (0.0000, 0.0000, 0.7463)
Pd (0.0000, 0.0000, 0.2537)
Nb (0.5000, 0.5000, 0.5000)


A plane-wave DFT calculation with PBE was carried out for a geometry-optimized TcOs2Au structure.

## Properties
SG   P4/mmm (123)
Magnetic moment   0.9 μB/cell
DOS(E_F)   5.7 states/eV per cell
Offset from the most stable computed form   569 meV/atom
Energy of formation from the pure elements   0.8129 eV/atom

Cell lengths 4.6651, 4.6651, 2.8459 Å; angles 90.00, 90.00, 90.00 degrees
Each line ends with the local moment (μB).
Positions (direct):
Os (0.5000, 0.5000, 0.0000)  0.17
Os (0.0000, 0.0000, 0.0000)  0.17
Au (0.0000, 0.5000, 0.5000)  0.02
Tc (0.5000, 0.0000, 0.5000)  0.53


A plane-wave DFT calculation with PBE was carried out for a geometry-optimized BaTa2Al structure.

## Properties
SG   Pmmm (47)
Magnetic moment   0.0 μB/cell
DOS(E_F)   2.8 states/eV per cell
Energy of formation from the pure elements   0.8913 eV/atom

Cell lengths 3.0317, 5.5626, 5.2491 Å; angles 90.00, 90.00, 90.00 degrees
Positions (direct):
Ta (0.5000, 0.5000, 0.0000)
Ta (0.0000, 0.0000, 0.0000)
Ba (0.0000, 0.5000, 0.5000)
Al (0.5000, 0.0000, 0.5000)


A plane-wave DFT calculation with PBE was carried out for a geometry-optimized DyPuFe structure.

## Properties
SG   I4mm (107)
Magnetic moment   4.0 μB/cell
DOS(E_F)   6.2 states/eV per cell
Offset from the most stable computed form   0 meV/atom
Energy of formation from the pure elements   0.0923 eV/atom

Cell lengths 3.4416, 3.4416, 6.0283 Å; angles 106.59, 106.59, 90.00 degrees
Each line ends with the local moment (μB).
Positions (direct):
Pu (0.2956, 0.2956, 0.5911)  5.23
Dy (0.0114, 0.0114, 0.0228)  0.32
Fe (0.6930, 0.6930, 0.3861)  -1.83


A plane-wave DFT calculation with PBE was carried out for a geometry-optimized LiCa structure.

## Properties
SG   C2/m (12)
Magnetic moment   0.0 μB/cell
DOS(E_F)   2.8 states/eV per cell
Offset from the most stable computed form   12 meV/atom
Energy of formation from the pure elements   0.0236 eV/atom

Cell lengths 6.8166, 6.8166, 5.5707 Å; angles 63.93, 63.93, 33.01 degrees
Positions (direct):
Ca (0.9819, 0.9819, 0.9283)
Ca (0.7681, 0.7681, 0.6550)
Li (0.5301, 0.5301, 0.3772)
Li (0.2199, 0.2199, 0.2061)


A plane-wave DFT calculation with PBE was carried out for a geometry-optimized Hf3TiIn structure.

## Properties
SG   Cmce (64)
Magnetic moment   0.0 μB/cell
DOS(E_F)   13.3 states/eV per cell
Offset from the most stable computed form   173 meV/atom
Energy of formation from the pure elements   0.1104 eV/atom

Cell lengths 7.9940, 7.4392, 7.4392 Å; angles 88.82, 90.00, 90.00 degrees
Positions (direct):
Hf (0.8771, 0.1131, 0.1006)
Hf (0.6229, 0.8994, 0.8869)
Hf (0.8771, 0.3994, 0.3869)
Hf (0.8738, 0.9005, 0.5995)
Hf (0.1229, 0.8869, 0.8994)
Hf (0.3771, 0.3869, 0.3994)
Hf (0.3771, 0.1006, 0.1131)
Hf (0.6262, 0.4005, 0.0995)
Hf (0.1229, 0.6006, 0.6131)
Hf (0.1262, 0.0995, 0.4005)
Hf (0.3738, 0.5995, 0.9005)
Hf (0.6229, 0.6131, 0.6006)
Ti (0.6299, 0.1043, 0.3957)
Ti (0.1299, 0.3957, 0.1043)
Ti (0.8701, 0.6043, 0.8957)
Ti (0.3701, 0.8957, 0.6043)
In (0.2500, 0.2414, 0.7586)
In (0.7500, 0.2586, 0.7414)
In (0.7500, 0.7586, 0.2414)
In (0.2500, 0.7414, 0.2586)


A plane-wave DFT calculation with PBE was carried out for a geometry-optimized CeAl5Ag7 structure.

## Properties
SG   Imm2 (44)
Magnetic moment   0.8 μB/cell
DOS(E_F)   10.1 states/eV per cell
Energy of formation from the pure elements   -0.1787 eV/atom

Cell lengths 5.4066, 7.1377, 7.1377 Å; angles 82.44, 67.74, 67.74 degrees
Each line ends with the local moment (μB).
Positions (direct):
Ag (0.6520, 0.3480, 0.3480)  0.00
Ag (0.5060, 0.2025, 0.7855)  0.00
Ag (0.5060, 0.7855, 0.2025)  0.00
Ag (0.9944, 0.3514, 0.6597)  0.00
Ag (0.9944, 0.6597, 0.3514)  0.00
Ag (0.2785, 0.2215, 0.2215)  0.00
Ag (0.3377, 0.6623, 0.6623)  0.00
Ce (0.0005, 0.9995, 0.9995)  0.77
Al (0.5001, 0.0024, 0.4940)  0.00
Al (0.0034, 0.0024, 0.4940)  0.00
Al (0.0034, 0.4940, 0.0024)  0.00
Al (0.5001, 0.4940, 0.0024)  0.00
Al (0.7234, 0.7766, 0.7766)  0.00


A plane-wave DFT calculation with PBE was carried out for a geometry-optimized CeMg2ZrN4 structure.

## Properties
SG   P2/m (10)
Magnetic moment   0.0 μB/cell
E_form (uncorrected)   -1193 meV per atom

Cell lengths 3.3458, 5.8519, 5.5567 Å; angles 110.63, 90.00, 90.00 degrees
Positions (direct):
N (0.5000, 0.7371, 0.7578)
N (0.5000, 0.2629, 0.2422)
N (0.0000, 0.7392, 0.2407)
N (0.0000, 0.2608, 0.7593)
Zr (0.5000, 0.5000, 0.0000)
Mg (0.5000, 0.0000, 0.5000)
Mg (0.0000, 0.5000, 0.5000)
Ce (0.0000, 0.0000, 0.0000)